Entry from the Alexandria database: a relaxed AlBr crystal (PBE-GGA).

Structure (CIF):
```
data_AlBr
_symmetry_space_group_name_H-M 'I 41/a m d'
_symmetry_Int_Tables_number 141
_cell_length_a 4.2875
_cell_length_b 4.2875
_cell_length_c 12.2872
_cell_angle_alpha 90.00
_cell_angle_beta 90.00
_cell_angle_gamma 90.00
loop_
_symmetry_equiv_pos_as_xyz
'x,y,z'
'-x,-y,-z'
'-y+1/4,x+3/4,z+1/4'
'y+1/4,-x+3/4,-z+1/4'
'-x+1/2,-y,z+1/2'
'x+1/2,y,-z+1/2'
'y+1/4,-x+1/4,z+3/4'
'-y+1/4,x+1/4,-z+3/4'
'x,-y,-z'
'-x,y,z'
'-y+1/4,-x+1/4,-z+3/4'
'y+1/4,x+1/4,z+3/4'
'-x+1/2,y,-z+1/2'
'x+1/2,-y,z+1/2'
'y+1/4,x+3/4,-z+1/4'
'-y+1/4,-x+3/4,z+1/4'
'x+1/2,y+1/2,z+1/2'
'-x+1/2,-y+1/2,-z+1/2'
'-y+3/4,x+1/4,z+3/4'
'y+3/4,-x+1/4,-z+3/4'
'-x,-y+1/2,z'
'x,y+1/2,-z'
'y+3/4,-x+3/4,z+1/4'
'-y+3/4,x+3/4,-z+1/4'
'x+1/2,-y+1/2,-z+1/2'
'-x+1/2,y+1/2,z+1/2'
'-y+3/4,-x+3/4,-z+1/4'
'y+3/4,x+3/4,z+1/4'
'-x,y+1/2,-z'
'x,-y+1/2,z'
'y+3/4,x+1/4,-z+3/4'
'-y+3/4,-x+1/4,z+3/4'
loop_
_atom_site_label
_atom_site_type_symbol
_atom_site_fract_x
_atom_site_fract_y
_atom_site_fract_z
Al1 Al 0.0000 0.2500 0.3750
Br1 Br 0.0000 0.2500 0.8750
```

Calculated values
* electronic total energy: -2.76 eV/atom
* formation energy without anion corrections: -0.052 eV per atom

---

Entry from the Alexandria database: a relaxed AlBr2 crystal (PBE-GGA).

Structure (CIF):
```
data_AlBr2
_symmetry_space_group_name_H-M 'F m -3 m'
_symmetry_Int_Tables_number 225
_symmetry_space_group_name_Hall '-F 4 2 3'
_cell_length_a 6.8555
_cell_length_b 6.8555
_cell_length_c 6.8555
_cell_angle_alpha 90.00
_cell_angle_beta 90.00
_cell_angle_gamma 90.00
loop_
_atom_site_label
_atom_site_type_symbol
_atom_site_fract_x
_atom_site_fract_y
_atom_site_fract_z
Al1 Al 0.0000 0.0000 0.0000
Br1 Br 0.2500 0.2500 0.2500
```

Calculated values
* offset from the most stable computed form: 584 meV per atom
* electronic total energy: -2.65 eV/atom
* formation energy without anion corrections: -0.289 eV per atom

---

Entry from the Alexandria database: a relaxed AlBr2 crystal (PBE-GGA).

Structure (CIF):
```
data_AlBr2
_symmetry_space_group_name_H-M 'P 63/m m c'
_symmetry_Int_Tables_number 194
_symmetry_space_group_name_Hall '-P 6c 2c'
_cell_length_a 5.8825
_cell_length_b 5.8825
_cell_length_c 5.5082
_cell_angle_alpha 90.00
_cell_angle_beta 90.00
_cell_angle_gamma 120.00
loop_
_atom_site_label
_atom_site_type_symbol
_atom_site_fract_x
_atom_site_fract_y
_atom_site_fract_z
Al1 Al 0.3333 0.6667 0.2500
Br1 Br 0.0000 0.0000 0.0000
Br2 Br 0.3333 0.6667 0.7500
```

Calculated values
* offset from the most stable computed form: 759 meV per atom
* electronic total energy: -2.48 eV/atom
* formation energy without anion corrections: -0.114 eV per atom

---

Entry from the Alexandria database: a relaxed AlBr3 crystal (PBE-GGA).

Structure (CIF):
```
data_AlBr3
_symmetry_space_group_name_H-M 'R -3 m'
_symmetry_Int_Tables_number 166
_symmetry_space_group_name_Hall '-R 3 2"'
_cell_length_a 3.8061
_cell_length_b 3.8061
_cell_length_c 24.0381
_cell_angle_alpha 90.00
_cell_angle_beta 90.00
_cell_angle_gamma 120.00
loop_
_atom_site_label
_atom_site_type_symbol
_atom_site_fract_x
_atom_site_fract_y
_atom_site_fract_z
Al1 Al 0.0000 0.0000 0.0000
Br1 Br 0.0000 0.0000 0.2722
Br2 Br 0.0000 0.0000 0.5000
```

Calculated values
* electronic total energy: -2.59 eV/atom
* formation energy without anion corrections: -0.399 eV per atom

---

Entry from the Alexandria database: a relaxed AlBr5 crystal (PBE-GGA).

Structure (CIF):
```
data_AlBr5
_symmetry_space_group_name_H-M 'C 1 m 1'
_symmetry_Int_Tables_number 8
_cell_length_a 17.3672
_cell_length_b 3.3358
_cell_length_c 10.2452
_cell_angle_alpha 90.00
_cell_angle_beta 121.26
_cell_angle_gamma 90.00
loop_
_symmetry_equiv_pos_as_xyz
'x,y,z'
'x,-y,z'
'x+1/2,y+1/2,z'
'x+1/2,-y+1/2,z'
loop_
_atom_site_label
_atom_site_type_symbol
_atom_site_fract_x
_atom_site_fract_y
_atom_site_fract_z
Al1 Al 0.0000 0.0000 0.0000
Br1 Br 0.0535 0.5000 0.2175
Br2 Br 0.0775 0.5000 0.9137
Br3 Br 0.3064 0.0000 0.2574
Br4 Br 0.3712 0.0000 0.8647
Br5 Br 0.4259 0.5000 0.4990
```

Calculated values
* offset from the most stable computed form: 0 meV per atom
* electronic total energy: -2.41 eV/atom
* formation energy without anion corrections: -0.394 eV per atom

---

Entry from the Alexandria database: a relaxed AlBr2 crystal (PBE-GGA).

Structure (CIF):
```
data_AlBr2
_symmetry_space_group_name_H-M 'C m m m'
_symmetry_Int_Tables_number 65
_symmetry_space_group_name_Hall '-C 2 2'
_cell_length_a 3.6272
_cell_length_b 15.1619
_cell_length_c 3.5739
_cell_angle_alpha 90.00
_cell_angle_beta 90.00
_cell_angle_gamma 90.00
loop_
_atom_site_label
_atom_site_type_symbol
_atom_site_fract_x
_atom_site_fract_y
_atom_site_fract_z
Al1 Al 0.0000 0.0000 0.0000
Br1 Br 0.0000 0.3833 0.0000
```

Calculated values
* offset from the most stable computed form: 379 meV per atom
* electronic total energy: -2.86 eV/atom
* formation energy without anion corrections: -0.494 eV per atom

---

Entry from the Alexandria database: a relaxed AlBr2 crystal (PBE-GGA).

Structure (CIF):
```
data_AlBr2
_symmetry_space_group_name_H-M 'P 63/m m c'
_symmetry_Int_Tables_number 194
_symmetry_space_group_name_Hall '-P 6c 2c'
_cell_length_a 4.5856
_cell_length_b 4.5856
_cell_length_c 9.1231
_cell_angle_alpha 90.00
_cell_angle_beta 90.00
_cell_angle_gamma 120.00
loop_
_atom_site_label
_atom_site_type_symbol
_atom_site_fract_x
_atom_site_fract_y
_atom_site_fract_z
Al1 Al 0.3333 0.6667 0.2500
Br1 Br 0.0000 0.0000 0.0000
Br2 Br 0.3333 0.6667 0.7500
```

Calculated values
* offset from the most stable computed form: 698 meV per atom
* electronic total energy: -2.54 eV/atom
* formation energy without anion corrections: -0.175 eV per atom

---

Entry from the Alexandria database: a relaxed AlBr crystal (PBE-GGA).

Structure (CIF):
```
data_AlBr
_symmetry_space_group_name_H-M 'P 63/m m c'
_symmetry_Int_Tables_number 194
_symmetry_space_group_name_Hall '-P 6c 2c'
_cell_length_a 4.1508
_cell_length_b 4.1508
_cell_length_c 8.1308
_cell_angle_alpha 90.00
_cell_angle_beta 90.00
_cell_angle_gamma 120.00
loop_
_atom_site_label
_atom_site_type_symbol
_atom_site_fract_x
_atom_site_fract_y
_atom_site_fract_z
Al1 Al 0.3333 0.6667 0.2500
Br1 Br 0.0000 0.0000 0.0000
```

Calculated values
* electronic total energy: -2.79 eV/atom
* formation energy without anion corrections: -0.083 eV per atom